A plane-wave DFT calculation with PBE was carried out for a relaxed AcInGeRh3 crystal.

Lattice parameters (Å, degrees): 5.831 16.058 5.869 90.00 90.00 90.00
Space group Cmcm (No. 63)
One atom of each set of equivalent atoms:
Ac 0.000 0.243 0.250 x4
In 0.000 0.105 0.750 x4
Ge 0.000 0.420 0.750 x4
Rh 0.000 0.269 0.750 x4
Rh 0.250 0.000 0.000 x8

**Calculated formation energy**: -450 meV/atom
**Magnetic moment**: 0.0 μB/f.u.
**Crystal system**: orthorhombic



A plane-wave DFT calculation with PBE was carried out for a relaxed CuHg3W crystal.

Lattice parameters (Å, degrees): 5.369 5.369 5.369 90.00 90.00 90.00
Space group Pm-3m (No. 221)
One atom of each set of equivalent atoms:
Cu 0.000 0.000 0.000 x1
Hg 0.000 0.500 0.500 x3
W 0.500 0.500 0.500 x1

**Calculated formation energy**: 1394 meV/atom
**Magnetic moment**: 2.0 μB/f.u.
**Crystal system**: cubic